[1]
Here is a relaxed AlAgS2Cl crystal from Alexandria. Energies are from GGA-PBE.

Output
crystal system	tetragonal
polymorph energy (0 for the lowest one)	660.8	meV/atom
E	-2.877	eV/atom
formation energy without anion corrections	0.46	eV/atom
calculated volume	117.6	Å³/cell

abc: 4.8714 4.8714 4.9575
angles: 90.00 90.00 90.00
Closest atoms and distances in Å follow each position.
Space group P4/mmm (No. 123)
Inequivalent atoms, fractional coordinates:
1 Al 0.0000 0.0000 0.0000 x1  4 Cl 3.44, 8 S 3.48
2 Ag 0.5000 0.5000 0.5000 x1  4 S 2.44, 2 Cl 2.48
3 S 0.0000 0.5000 0.5000 x2  2 Ag 2.44
4 Cl 0.5000 0.5000 0.0000 x1  2 Ag 2.48


[2]
Here is a relaxed Sr4TaTe crystal from Alexandria. Energies are from GGA-PBE.

Output
crystal system	cubic
E	-2.826	eV/atom
formation energy without anion corrections	0.79	eV/atom
calculated volume	928.3	Å³/cell

abc: 9.7551 9.7551 9.7551
angles: 90.00 90.00 90.00
Closest atoms and distances in Å follow each position.
Space group F-43m (No. 216)
Inequivalent atoms, fractional coordinates:
1 Sr 0.1245 0.1245 0.1245 x16  6 Sr 3.43-3.46
2 Ta 0.2500 0.2500 0.7500 x4  12 Sr 4.04, 4 Te 4.22
3 Te 0.0000 0.0000 0.5000 x4  12 Sr 4.05, 4 Ta 4.22


[3]
Here is a relaxed CuTc2Sb crystal from Alexandria. Energies are from GGA-PBE.

Output
crystal system	trigonal
E	-6.728	eV/atom
formation energy without anion corrections	0.51	eV/atom
calculated volume	192.8	Å³/cell

abc: 3.0170 3.0170 24.4557
angles: 90.00 90.00 120.00
Closest atoms and distances in Å follow each position.
Space group R-3m (No. 166, hexagonal axes)
Inequivalent atoms, fractional coordinates:
1 Cu 0.0000 0.0000 0.0000 x3  6 Tc 2.63
2 Tc 0.0000 0.0000 0.2525 x6  3 Cu 2.63, 3 Sb 2.73
3 Sb 0.0000 0.0000 0.5000 x3  6 Tc 2.73, 6 Sb 3.02


[4]
Here is a relaxed CrTc crystal from Alexandria. Energies are from GGA-PBE.

Output
crystal system	monoclinic
ΔH_f (0 K)	0.06	eV/atom
E	-9.930	eV/atom
calculated volume	158.1	Å³/cell

abc: 9.4610 2.9468 5.9771
angles: 90.00 108.40 90.00
Closest atoms and distances in Å follow each position.
Space group Cm (No. 8)
Inequivalent atoms, fractional coordinates:
1 Cr 0.0000 0.0000 0.0000 x2  2 Cr 2.49, 6 Tc 2.58-2.62
2 Cr 0.0165 0.0000 0.4838 x2  2 Cr 2.39, 6 Tc 2.53-2.62
3 Cr 0.1557 0.5000 0.3194 x2  4 Cr 2.39-2.49, 4 Tc 2.59-2.63
4 Tc 0.1612 0.5000 0.8225 x2  4 Cr 2.53-2.58, 4 Tc 2.67-2.70
5 Tc 0.3342 0.0000 0.1753 x2  6 Cr 2.56-2.60, 3 Tc 2.67-2.80
6 Tc 0.3417 0.0000 0.6477 x2  7 Cr 2.62-2.92, 4 Tc 2.70-2.87